This record from the Alexandria database describes an optimized crystal structure of Os2RhSe. The functional is PBE-GGA.

Output
Mass density (Mg/m³): 15.69
V (Å³ per cell): 59.5
Formation energy without anion corrections (eV/atom): 0.721
Crystal system: tetragonal

```
Os2RhSe
1.0
4.518 0.000 0.000
0.000 4.518 0.000
0.000 0.000 2.916
Os Rh Se
2 1 1
Cartesian
0.000 2.259 0.000
2.259 0.000 0.000
0.000 0.000 1.458
2.259 2.259 1.458
```